Entry 1:
The following is a GGA-PBE calculation of crystalline Pm2Sm6Tm5 at its relaxed geometry, from Alexandria via LeMat-Bulk.

Computed properties:
- total magnetic moment (μB/f.u.) = 0.0
- final energy (eV per formula unit) = -58.852
- formation energy (eV/f.u.) = 1.3

abc: 11.7320 20.2774 3.6120
angles: 90.00 90.00 90.00
Closest atoms and distances in Å follow each position.
Element x y z (fractional)
Pm 0.1650 0.2148 0.0000  3 Sm 3.40-3.68, 6 Tm 3.55-3.75, 2 Pm 3.61
Pm 0.3350 0.7148 0.0000  3 Sm 3.40-3.68, 6 Tm 3.55-3.75, 2 Pm 3.61
Pm 0.6650 0.2852 0.0000  3 Sm 3.40-3.68, 6 Tm 3.55-3.75, 2 Pm 3.61
Pm 0.8350 0.7852 0.0000  3 Sm 3.40-3.68, 6 Tm 3.55-3.75, 2 Pm 3.61
Sm 0.0582 0.9219 0.0000  5 Sm 3.45-3.74, 6 Tm 3.48-3.63, 1 Pm 3.81
Sm 0.0808 0.6346 0.0000  1 Pm 3.40, 6 Tm 3.41-3.55, 4 Sm 3.51-3.61
Sm 0.1759 0.3726 0.5000  2 Tm 3.31, 4 Sm 3.51-3.61, 2 Pm 3.68
Sm 0.3241 0.8726 0.5000  2 Tm 3.31, 4 Sm 3.51-3.61, 2 Pm 3.68
Sm 0.4192 0.1346 0.0000  1 Pm 3.40, 6 Tm 3.41-3.55, 4 Sm 3.51-3.61
Sm 0.4418 0.4219 0.0000  5 Sm 3.45-3.74, 6 Tm 3.48-3.63, 1 Pm 3.81
Sm 0.5582 0.5781 0.0000  5 Sm 3.45-3.74, 6 Tm 3.48-3.63, 1 Pm 3.81
Sm 0.5808 0.8654 0.0000  1 Pm 3.40, 6 Tm 3.41-3.55, 4 Sm 3.51-3.61
Sm 0.6759 0.1274 0.5000  2 Tm 3.31, 4 Sm 3.51-3.61, 2 Pm 3.68
Sm 0.8241 0.6274 0.5000  2 Tm 3.31, 4 Sm 3.51-3.61, 2 Pm 3.68
Sm 0.9192 0.3654 0.0000  1 Pm 3.40, 6 Tm 3.41-3.55, 4 Sm 3.51-3.61
Sm 0.9418 0.0781 0.0000  5 Sm 3.45-3.74, 6 Tm 3.48-3.63, 1 Pm 3.81
Tm 0.0000 0.5000 0.5000  6 Sm 3.31-3.41, 4 Tm 3.61-3.69
Tm 0.0952 0.7770 0.5000  5 Sm 3.31-3.48, 4 Pm 3.55-3.57, 2 Tm 3.61
Tm 0.1994 0.0542 0.5000  7 Sm 3.55-3.96, 3 Tm 3.61-3.69, 2 Pm 3.75
Tm 0.3006 0.5542 0.5000  7 Sm 3.55-3.96, 3 Tm 3.61-3.69, 2 Pm 3.75
Tm 0.4048 0.2770 0.5000  5 Sm 3.31-3.48, 4 Pm 3.55-3.57, 2 Tm 3.61
Tm 0.5000 0.0000 0.5000  6 Sm 3.31-3.41, 4 Tm 3.61-3.69
Tm 0.5952 0.7230 0.5000  5 Sm 3.31-3.48, 4 Pm 3.55-3.57, 2 Tm 3.61
Tm 0.6994 0.4458 0.5000  7 Sm 3.55-3.96, 3 Tm 3.61-3.69, 2 Pm 3.75
Tm 0.8006 0.9458 0.5000  7 Sm 3.55-3.96, 3 Tm 3.61-3.69, 2 Pm 3.75
Tm 0.9048 0.2230 0.5000  5 Sm 3.31-3.48, 4 Pm 3.55-3.57, 2 Tm 3.61

Entry 2:
The following is a GGA-PBE calculation of crystalline MnZnSi2 at its relaxed geometry, from Alexandria via LeMat-Bulk.

Computed properties:
- formation energy without anion corrections (eV/f.u.) = 0.88
- total magnetic moment (μB/f.u.) = 2.4
- final energy (eV per formula unit) = -20.410

abc: 8.6770 8.6770 8.6770
angles: 154.70 154.70 36.09
Closest atoms and distances in Å follow each position.
Element x y z (fractional)
Mn 0.0000 0.0000 0.0000  4 Si 2.43, 4 Zn 2.69
Mn 0.7500 0.2500 0.5000  4 Si 2.43, 4 Zn 2.69
Zn 0.2500 0.7500 0.5000  4 Si 2.50, 4 Mn 2.69
Zn 0.5000 0.5000 0.0000  4 Si 2.50, 4 Mn 2.69
Si 0.0992 0.6250 0.9742  2 Mn 2.43, 2 Zn 2.50, 2 Si 2.55
Si 0.3750 0.3492 0.4742  2 Mn 2.43, 2 Zn 2.50, 2 Si 2.55
Si 0.6508 0.1250 0.0258  2 Mn 2.43, 2 Zn 2.50, 2 Si 2.55
Si 0.8750 0.9008 0.5258  2 Mn 2.43, 2 Zn 2.50, 2 Si 2.55

Entry 3:
The following is a GGA-PBE calculation of crystalline KRuPb2 at its relaxed geometry, from Alexandria via LeMat-Bulk.

Computed properties:
- total magnetic moment (μB/f.u.) = 0.0
- final energy (eV per formula unit) = -16.337
- formation energy (eV/f.u.) = 1.5

abc: 9.0335 9.0335 9.0335
angles: 135.56 135.56 64.67
Closest atoms and distances in Å follow each position.
Element x y z (fractional)
K 0.0000 0.0000 0.0000  8 Pb 4.25-4.29
K 0.7500 0.2500 0.5000  8 Pb 4.25-4.29
Ru 0.2500 0.7500 0.5000  4 Pb 2.56
Ru 0.5000 0.5000 0.0000  4 Pb 2.56
Pb 0.3722 0.6250 0.2472  2 Ru 2.56
Pb 0.3750 0.6222 0.7472  2 Ru 2.56
Pb 0.3778 0.1250 0.7528  2 Ru 2.56
Pb 0.8750 0.6278 0.2528  2 Ru 2.56

Entry 4:
The following is a GGA-PBE calculation of crystalline LiCaBO3 at its relaxed geometry, from Alexandria via LeMat-Bulk.

Computed properties:
- formation energy without anion corrections (eV/f.u.) = -15.96
- total magnetic moment (μB/f.u.) = 0.0
- final energy (eV per formula unit) = -41.431

abc: 7.9849 7.9849 7.9849
angles: 134.91 134.47 66.01
Closest atoms and distances in Å follow each position.
Element x y z (fractional)
Li 0.0282 0.2500 0.2782  4 O 2.05-2.24
Li 0.4718 0.7500 0.2218  4 O 2.05-2.24
Li 0.5282 0.2500 0.7782  4 O 2.05-2.24
Li 0.9718 0.7500 0.7218  4 O 2.05-2.24
Ca 0.0702 0.3202 0.7500  7 O 2.38-2.52
Ca 0.4298 0.1798 0.2500  7 O 2.38-2.52
Ca 0.5702 0.8202 0.7500  7 O 2.38-2.52
Ca 0.9298 0.6798 0.2500  7 O 2.38-2.52
B 0.1481 0.8981 0.2500  3 O 1.38-1.40
B 0.3519 0.6019 0.7500  3 O 1.38-1.40
B 0.6481 0.3981 0.2500  3 O 1.38-1.40
B 0.8519 0.1019 0.7500  3 O 1.38-1.40
O 0.0409 0.0144 0.7459  1 B 1.40
O 0.2316 0.7050 0.2459  1 B 1.40
O 0.2487 0.4987 0.7500  1 B 1.38
O 0.2513 0.0013 0.2500  1 B 1.38
O 0.2684 0.5144 0.4734  1 B 1.40
O 0.4591 0.2050 0.9734  1 B 1.40
O 0.5409 0.7950 0.0266  1 B 1.40
O 0.7316 0.4856 0.5266  1 B 1.40
O 0.7487 0.9987 0.7500  1 B 1.38
O 0.7513 0.5013 0.2500  1 B 1.38
O 0.7684 0.2950 0.7541  1 B 1.40
O 0.9591 0.9856 0.2541  1 B 1.40

Entry 5:
The following is a GGA-PBE calculation of crystalline Sb2RhICl at its relaxed geometry, from Alexandria via LeMat-Bulk.

Computed properties:
- formation energy without anion corrections (eV/f.u.) = 6.24
- total magnetic moment (μB/f.u.) = 0.4
- energy above the lowest structure with this stoichiometry (meV/atom) = 1086.4
- final energy (eV per formula unit) = -12.753

abc: 5.2848 5.2848 5.3000
angles: 90.00 90.00 90.00
Closest atoms and distances in Å follow each position.
Element x y z (fractional)
Sb 0.0000 0.5000 0.0000  2 Cl 2.64
Sb 0.5000 0.0000 0.0000  2 Cl 2.64
Rh 0.0000 0.0000 0.5000  4 I 3.74, 8 Sb 3.74
I 0.5000 0.5000 0.5000  2 Cl 2.65
Cl 0.5000 0.5000 0.0000  4 Sb 2.64, 2 I 2.65

Entry 6:
The following is a GGA-PBE calculation of crystalline Cs2TeBr7 at its relaxed geometry, from Alexandria via LeMat-Bulk.

Computed properties:
- formation energy without anion corrections (eV/f.u.) = -8.96
- total magnetic moment (μB/f.u.) = 0.0
- final energy (eV per formula unit) = -25.517

abc: 8.4303 8.4303 8.4303
angles: 121.97 121.97 86.62
Closest atoms and distances in Å follow each position.
Element x y z (fractional)
Cs 0.2500 0.7500 0.5000  12 Br 4.10-4.22
Cs 0.7500 0.2500 0.5000  12 Br 4.10-4.22
Te 0.0000 0.0000 0.0000  6 Br 2.73-2.74
Br 0.2226 0.2226 0.0000  1 Te 2.73
Br 0.2370 0.2370 0.4740  1 Te 2.74, 1 Br 3.04
Br 0.2370 0.7630 0.0000  1 Te 2.74, 1 Br 3.04
Br 0.5000 0.5000 0.0000  6 Br 3.04-3.40
Br 0.7630 0.2370 0.0000  1 Te 2.74, 1 Br 3.04
Br 0.7630 0.7630 0.5260  1 Te 2.74, 1 Br 3.04
Br 0.7774 0.7774 0.0000  1 Te 2.73

Entry 7:
The following is a GGA-PBE calculation of crystalline CaZnCu2 at its relaxed geometry, from Alexandria via LeMat-Bulk.

Computed properties:
- total magnetic moment (μB/f.u.) = 0.0
- final energy (eV per formula unit) = -12.120
- formation energy (eV/f.u.) = -0.7

abc: 4.2470 6.5190 5.4764
angles: 90.00 90.00 90.00
Closest atoms and distances in Å follow each position.
Element x y z (fractional)
Ca 0.2500 0.2500 0.1303  8 Cu 2.97-3.21, 2 Zn 3.27
Ca 0.7500 0.7500 0.8697  8 Cu 2.97-3.21, 2 Zn 3.27
Zn 0.2500 0.7500 0.3245  6 Cu 2.50-2.54
Zn 0.7500 0.2500 0.6755  6 Cu 2.50-2.54
Cu 0.2500 0.0520 0.6179  3 Zn 2.50-2.54, 3 Cu 2.58
Cu 0.2500 0.4480 0.6179  3 Zn 2.50-2.54, 3 Cu 2.58
Cu 0.7500 0.5520 0.3821  3 Zn 2.50-2.54, 3 Cu 2.58
Cu 0.7500 0.9480 0.3821  3 Zn 2.50-2.54, 3 Cu 2.58

Entry 8:
The following is a GGA-PBE calculation of crystalline Dy2ScU2Ru5 at its relaxed geometry, from Alexandria via LeMat-Bulk.

Computed properties:
- total magnetic moment (μB/f.u.) = 0.0
- final energy (eV per formula unit) = -87.359
- formation energy (eV/f.u.) = -2.9

abc: 10.5561 10.5561 3.4884
angles: 90.00 90.00 90.00
Closest atoms and distances in Å follow each position.
Element x y z (fractional)
Dy 0.1719 0.3281 0.0000  1 U 2.81, 2 Ru 3.10
Dy 0.3281 0.8281 0.0000  1 U 2.81, 2 Ru 3.10
Dy 0.6719 0.1719 0.0000  1 U 2.81, 2 Ru 3.10
Dy 0.8281 0.6719 0.0000  1 U 2.81, 2 Ru 3.10
Sc 0.0000 0.0000 0.0000  8 Ru 2.84
Sc 0.5000 0.5000 0.0000  8 Ru 2.84
U 0.1400 0.6400 0.0000  6 Ru 2.56-2.72, 1 Dy 2.81
U 0.3600 0.1400 0.0000  6 Ru 2.56-2.72, 1 Dy 2.81
U 0.6400 0.8600 0.0000  6 Ru 2.56-2.72, 1 Dy 2.81
U 0.8600 0.3600 0.0000  6 Ru 2.56-2.72, 1 Dy 2.81
Ru 0.0000 0.5000 0.5000  4 U 2.72
Ru 0.0524 0.7946 0.5000  2 U 2.56, 2 Sc 2.84
Ru 0.2054 0.0524 0.5000  2 U 2.56, 2 Sc 2.84
Ru 0.2946 0.5524 0.5000  2 U 2.56, 2 Sc 2.84
Ru 0.4476 0.2946 0.5000  2 U 2.56, 2 Sc 2.84
Ru 0.5000 0.0000 0.5000  4 U 2.72
Ru 0.5524 0.7054 0.5000  2 U 2.56, 2 Sc 2.84
Ru 0.7054 0.4476 0.5000  2 U 2.56, 2 Sc 2.84
Ru 0.7946 0.9476 0.5000  2 U 2.56, 2 Sc 2.84
Ru 0.9476 0.2054 0.5000  2 U 2.56, 2 Sc 2.84

Entry 9:
The following is a GGA-PBE calculation of crystalline TbCeLuIn at its relaxed geometry, from Alexandria via LeMat-Bulk.

Computed properties:
- total magnetic moment (μB/f.u.) = 0.0
- final energy (eV per formula unit) = -18.057
- formation energy (eV/f.u.) = -0.2

abc: 5.3630 5.3630 5.3630
angles: 60.00 60.00 60.00
Closest atoms and distances in Å follow each position.
Element x y z (fractional)
Tb 0.0000 0.0000 0.0000  4 Ce 3.28, 4 In 3.28
Ce 0.7500 0.7500 0.7500  4 Lu 3.28, 4 Tb 3.28
Lu 0.5000 0.5000 0.5000  4 In 3.28, 4 Ce 3.28
In 0.2500 0.2500 0.2500  4 Lu 3.28, 4 Tb 3.28

Entry 10:
The following is a GGA-PBE calculation of crystalline CePuPdAu at its relaxed geometry, from Alexandria via LeMat-Bulk.

Computed properties:
- total magnetic moment (μB/f.u.) = 6.8
- energy above the lowest structure with this stoichiometry (meV/atom) = 136.7
- final energy (eV per formula unit) = -30.727
- formation energy (eV/f.u.) = -2.0

abc: 5.1063 5.1063 5.1063
angles: 60.00 60.00 60.00
Closest atoms and distances in Å follow each position.
Element x y z (fractional)
Ce 0.0000 0.0000 0.0000  4 Pd 3.13, 4 Au 3.13
Pu 0.5000 0.5000 0.5000  4 Pd 3.13, 4 Au 3.13
Pd 0.2500 0.2500 0.2500  4 Ce 3.13, 4 Pu 3.13
Au 0.7500 0.7500 0.7500  4 Ce 3.13, 4 Pu 3.13